# Nd3DyTm3 GGA-PBE optimized geometry
# **Polymorph energy (0 for the lowest one)**: 0 meV/atom
# **E_form**: 0.021 eV per atom
# **Crystal system**: hexagonal
data_Nd3DyTm3
_chemical_formula_sum 'Nd6 Dy2 Tm6'
_space_group_name_H-M_alt 'P 63/m'
_space_group_IT_number 176
_space_group_name_Hall '-P 6c'
_cell_length_a 9.6046
_cell_length_b 9.6046
_cell_length_c 5.7359
_cell_angle_alpha 90.00
_cell_angle_beta 90.00
_cell_angle_gamma 120.00
loop_
_atom_site_label
_atom_site_fract_x
_atom_site_fract_y
_atom_site_fract_z
Nd1 0.0497 0.8057 0.2500
Dy1 0.3333 0.6667 0.2500
Tm1 0.0953 0.6155 0.7500

=====

# MgMnAg2 GGA-PBE optimized geometry
# **E_form**: 0.125 eV per atom
# **Crystal system**: monoclinic
data_MgMnAg2
_chemical_formula_sum 'Mg2 Mn2 Ag4'
_space_group_name_H-M_alt 'C 1 2/m 1'
_space_group_IT_number 12
_space_group_name_Hall '-C 2y'
_cell_length_a 9.4227
_cell_length_b 2.9791
_cell_length_c 5.1172
_cell_angle_alpha 90.00
_cell_angle_beta 101.03
_cell_angle_gamma 90.00
loop_
_atom_site_label
_atom_site_fract_x
_atom_site_fract_y
_atom_site_fract_z
Mg1 0.0000 0.0000 0.0000
Mn1 0.0000 0.5000 0.5000
Ag1 0.2465 0.0000 0.7442

=====

# PmThZn17 GGA-PBE optimized geometry
# **E_form**: -0.232 eV per atom
# **Crystal system**: trigonal
data_PmThZn17
_chemical_formula_sum 'Pm3 Th3 Zn51'
_space_group_name_H-M_alt 'R 3 m'
_space_group_IT_number 160
_space_group_name_Hall 'R 3 -2"'
_cell_length_a 9.0499
_cell_length_b 9.0499
_cell_length_c 13.2335
_cell_angle_alpha 90.00
_cell_angle_beta 90.00
_cell_angle_gamma 120.00
loop_
_atom_site_label
_atom_site_fract_x
_atom_site_fract_y
_atom_site_fract_z
Pm1 0.0000 0.0000 0.0000
Th1 0.0000 0.0000 0.3276
Zn1 0.0000 0.0000 0.5652
Zn2 0.0000 0.0000 0.7631
Zn3 0.0004 0.5002 0.1637
Zn4 0.0007 0.2935 0.6640
Zn5 0.0081 0.5040 0.8171
Zn6 0.1707 0.3414 0.8442

=====

# CdReSiTe2 GGA-PBE optimized geometry
# **Formation energy from raw total energies**: 1.40 eV per atom
# **Crystal system**: tetragonal
data_CdReSiTe2
_chemical_formula_sum 'Cd1 Re1 Si1 Te2'
_space_group_name_H-M_alt 'P 4/m m m'
_space_group_IT_number 123
_space_group_name_Hall '-P 4 2'
_cell_length_a 5.3539
_cell_length_b 5.3539
_cell_length_c 4.8947
_cell_angle_alpha 90.00
_cell_angle_beta 90.00
_cell_angle_gamma 90.00
loop_
_atom_site_label
_atom_site_fract_x
_atom_site_fract_y
_atom_site_fract_z
Cd1 0.0000 0.0000 0.0000
Re1 0.5000 0.5000 0.0000
Si1 0.0000 0.0000 0.5000
Te1 0.0000 0.5000 0.5000

=====

# LaZnRe2 GGA-PBE optimized geometry
# **E_form**: 0.636 eV per atom
# **Crystal system**: orthorhombic
data_LaZnRe2
_chemical_formula_sum 'La2 Zn2 Re4'
_space_group_name_H-M_alt 'C m m m'
_space_group_IT_number 65
_space_group_name_Hall '-C 2 2'
_cell_length_a 3.1620
_cell_length_b 4.6332
_cell_length_c 9.6591
_cell_angle_alpha 90.00
_cell_angle_beta 90.00
_cell_angle_gamma 90.00
loop_
_atom_site_label
_atom_site_fract_x
_atom_site_fract_y
_atom_site_fract_z
La1 0.0000 0.0000 0.0000
Zn1 0.0000 0.0000 0.5000
Re1 0.0000 0.5000 0.2793

=====

# HfNiPb3 GGA-PBE optimized geometry
# **Polymorph energy (0 for the lowest one)**: 441 meV/atom
# **E_form**: 1.020 eV per atom
# **Crystal system**: cubic
data_HfNiPb3
_chemical_formula_sum 'Hf1 Ni1 Pb3'
_space_group_name_H-M_alt 'P m -3 m'
_space_group_IT_number 221
_space_group_name_Hall '-P 4 2 3'
_cell_length_a 5.6063
_cell_length_b 5.6063
_cell_length_c 5.6063
_cell_angle_alpha 90.00
_cell_angle_beta 90.00
_cell_angle_gamma 90.00
loop_
_atom_site_label
_atom_site_fract_x
_atom_site_fract_y
_atom_site_fract_z
Hf1 0.0000 0.0000 0.0000
Ni1 0.5000 0.5000 0.5000
Pb1 0.0000 0.0000 0.5000

=====

| no. | raw total energy (eV per atom) | magnetization (μB per cell) |
| --- | --- | --- |
| 1 | -4.60 | 0.000 |
| 2 | -3.99 | 7.901 |
| 3 | -2.01 | 0.000 |
| 4 | -3.61 | 4.394 |
| 5 | -7.14 | 0.000 |
| 6 | -4.35 | 0.000 |